# 1
This record from the Alexandria database describes a relaxed structure of Mn2AgHRh. The functional is PBE.

```
data_Mn2AgHRh
_symmetry_space_group_name_H-M 'P 1'
_symmetry_Int_Tables_number 1
_cell_length_a 4.1968
_cell_length_b 4.1968
_cell_length_c 3.6368
_cell_angle_alpha 90.00
_cell_angle_beta 90.00
_cell_angle_gamma 90.00
loop_
_symmetry_equiv_pos_as_xyz
'x,y,z'
loop_
_atom_site_label
_atom_site_fract_x
_atom_site_fract_y
_atom_site_fract_z
_atom_site_occupancy
Mn1 0.0000 0.5000 0.0000 1
Mn2 0.5000 0.0000 0.0000 1
Ag1 0.0000 0.0000 0.5000 1
H1 0.5000 0.5000 0.0000 1
Rh1 0.5000 0.5000 0.5000 1
```

Results
Energy above the lowest structure with this stoichiometry ... 0 meV/atom
Magnetic moment ... 8.4 μB per formula unit

---

# 2
This record from the Alexandria database describes a relaxed structure of MnAgHRh2. The functional is PBE.

```
data_MnAgHRh2
_symmetry_space_group_name_H-M 'P 1'
_symmetry_Int_Tables_number 1
_cell_length_a 3.9392
_cell_length_b 3.9392
_cell_length_c 3.9978
_cell_angle_alpha 90.00
_cell_angle_beta 90.00
_cell_angle_gamma 90.00
loop_
_symmetry_equiv_pos_as_xyz
'x,y,z'
loop_
_atom_site_label
_atom_site_fract_x
_atom_site_fract_y
_atom_site_fract_z
_atom_site_occupancy
Mn1 0.0000 0.0000 0.0000 1
Ag1 0.5000 0.5000 0.0000 1
H1 0.0000 0.0000 0.5000 1
Rh1 0.0000 0.5000 0.5000 1
Rh2 0.5000 0.0000 0.5000 1
```

Results
Magnetic moment ... 4.0 μB per formula unit
VASP energy ... -5.975 eV per atom

---

# 3
This record from the Alexandria database describes a relaxed structure of Mn2AgHRh. The functional is PBE.

```
data_Mn2AgHRh
_symmetry_space_group_name_H-M 'P 1'
_symmetry_Int_Tables_number 1
_cell_length_a 4.0391
_cell_length_b 4.0391
_cell_length_c 3.8631
_cell_angle_alpha 90.00
_cell_angle_beta 90.00
_cell_angle_gamma 90.00
loop_
_symmetry_equiv_pos_as_xyz
'x,y,z'
loop_
_atom_site_label
_atom_site_fract_x
_atom_site_fract_y
_atom_site_fract_z
_atom_site_occupancy
Mn1 0.0000 0.5000 0.0000 1
Mn2 0.5000 0.0000 0.0000 1
Ag1 0.0000 0.0000 0.5000 1
H1 0.0000 0.0000 0.0000 1
Rh1 0.5000 0.5000 0.5000 1
```

Results
Energy above the lowest structure with this stoichiometry ... 159 meV/atom
Magnetic moment ... 8.3 μB per formula unit

---

# 4
This record from the Alexandria database describes a relaxed structure of MnAgSbH2. The functional is PBE.

```
data_MnAgSbH2
_symmetry_space_group_name_H-M 'P 1'
_symmetry_Int_Tables_number 1
_cell_length_a 3.8971
_cell_length_b 3.8971
_cell_length_c 5.6362
_cell_angle_alpha 90.00
_cell_angle_beta 90.00
_cell_angle_gamma 90.00
loop_
_symmetry_equiv_pos_as_xyz
'x,y,z'
loop_
_atom_site_label
_atom_site_fract_x
_atom_site_fract_y
_atom_site_fract_z
_atom_site_occupancy
Mn1 0.0000 0.0000 0.0000 1
Ag1 0.5000 0.5000 0.0000 1
Sb1 0.0000 0.0000 0.5000 1
H1 0.0000 0.5000 0.5000 1
H2 0.5000 0.0000 0.5000 1
```

Results
Magnetic moment ... 4.4 μB per formula unit
VASP energy ... -3.969 eV per atom

---

# 5
This record from the Alexandria database describes a relaxed structure of MnAgHSe2. The functional is PBE.

```
data_MnAgHSe2
_symmetry_space_group_name_H-M 'P 1'
_symmetry_Int_Tables_number 1
_cell_length_a 4.7528
_cell_length_b 4.7528
_cell_length_c 3.6820
_cell_angle_alpha 90.00
_cell_angle_beta 90.00
_cell_angle_gamma 90.00
loop_
_symmetry_equiv_pos_as_xyz
'x,y,z'
loop_
_atom_site_label
_atom_site_fract_x
_atom_site_fract_y
_atom_site_fract_z
_atom_site_occupancy
Mn1 0.0000 0.0000 0.0000 1
Ag1 0.5000 0.5000 0.0000 1
H1 0.5000 0.5000 0.5000 1
Se1 0.0000 0.5000 0.5000 1
Se2 0.5000 0.0000 0.5000 1
```

Results
Magnetic moment ... 4.6 μB per formula unit
VASP energy ... -4.065 eV per atom

---

# 6
This record from the Alexandria database describes a relaxed structure of MnSi2AgH. The functional is PBE.

```
data_MnSi2AgH
_symmetry_space_group_name_H-M 'P 1'
_symmetry_Int_Tables_number 1
_cell_length_a 4.3621
_cell_length_b 4.3621
_cell_length_c 5.1445
_cell_angle_alpha 90.00
_cell_angle_beta 90.00
_cell_angle_gamma 90.00
loop_
_symmetry_equiv_pos_as_xyz
'x,y,z'
loop_
_atom_site_label
_atom_site_fract_x
_atom_site_fract_y
_atom_site_fract_z
_atom_site_occupancy
Mn1 0.0000 0.0000 0.0000 1
Si1 0.0000 0.5000 0.0000 1
Si2 0.5000 0.0000 0.0000 1
Ag1 0.0000 0.0000 0.5000 1
H1 0.5000 0.5000 0.5000 1
```

Results
Magnetic moment ... 2.7 μB per formula unit
VASP energy ... -4.306 eV per atom

---

# 7
This record from the Alexandria database describes a relaxed structure of Ti2MnAgH. The functional is PBE.

```
data_Ti2MnAgH
_symmetry_space_group_name_H-M 'P 1'
_symmetry_Int_Tables_number 1
_cell_length_a 4.2321
_cell_length_b 4.2321
_cell_length_c 3.5726
_cell_angle_alpha 90.00
_cell_angle_beta 90.00
_cell_angle_gamma 90.00
loop_
_symmetry_equiv_pos_as_xyz
'x,y,z'
loop_
_atom_site_label
_atom_site_fract_x
_atom_site_fract_y
_atom_site_fract_z
_atom_site_occupancy
Ti1 0.0000 0.5000 0.0000 1
Ti2 0.5000 0.0000 0.0000 1
Mn1 0.0000 0.0000 0.5000 1
Ag1 0.5000 0.5000 0.5000 1
H1 0.0000 0.0000 0.0000 1
```

Results
Magnetic moment ... 0.1 μB per formula unit
VASP energy ... -6.282 eV per atom

---

# 8
This record from the Alexandria database describes a relaxed structure of MnZn2AgH. The functional is PBE.

```
data_MnZn2AgH
_symmetry_space_group_name_H-M 'P 1'
_symmetry_Int_Tables_number 1
_cell_length_a 4.2780
_cell_length_b 4.2780
_cell_length_c 3.4645
_cell_angle_alpha 90.00
_cell_angle_beta 90.00
_cell_angle_gamma 90.00
loop_
_symmetry_equiv_pos_as_xyz
'x,y,z'
loop_
_atom_site_label
_atom_site_fract_x
_atom_site_fract_y
_atom_site_fract_z
_atom_site_occupancy
Mn1 0.0000 0.0000 0.0000 1
Zn1 0.0000 0.5000 0.5000 1
Zn2 0.5000 0.0000 0.5000 1
Ag1 0.5000 0.5000 0.0000 1
H1 0.0000 0.0000 0.5000 1
```

Results
Magnetic moment ... 3.4 μB per formula unit
VASP energy ... -3.465 eV per atom

---

# 9
This record from the Alexandria database describes a relaxed structure of AgMo2H. The functional is PBE.

```
data_AgMo2H
_symmetry_space_group_name_H-M 'P 1'
_symmetry_Int_Tables_number 1
_cell_length_a 5.4883
_cell_length_b 5.4883
_cell_length_c 5.4883
_cell_angle_alpha 118.87
_cell_angle_beta 118.87
_cell_angle_gamma 91.97
loop_
_symmetry_equiv_pos_as_xyz
'x,y,z'
loop_
_atom_site_label
_atom_site_fract_x
_atom_site_fract_y
_atom_site_fract_z
_atom_site_occupancy
Ag1 0.0000 0.0000 0.0000 1
Ag2 0.7500 0.2500 0.5000 1
Mo1 0.3484 0.1250 0.7234 1
Mo2 0.3750 0.6516 0.7766 1
Mo3 0.4016 0.6250 0.2766 1
Mo4 0.8750 0.5984 0.2234 1
H1 0.2500 0.7500 0.5000 1
H2 0.5000 0.5000 0.0000 1
```

Results
Energy above the lowest structure with this stoichiometry ... 299 meV/atom
Magnetic moment ... 0.0 μB per formula unit

---

# 10
This record from the Alexandria database describes a relaxed structure of Ag2MoH. The functional is PBE.

```
data_Ag2MoH
_symmetry_space_group_name_H-M 'P 1'
_symmetry_Int_Tables_number 1
_cell_length_a 4.4991
_cell_length_b 4.4991
_cell_length_c 4.4991
_cell_angle_alpha 60.00
_cell_angle_beta 60.00
_cell_angle_gamma 60.00
loop_
_symmetry_equiv_pos_as_xyz
'x,y,z'
loop_
_atom_site_label
_atom_site_fract_x
_atom_site_fract_y
_atom_site_fract_z
_atom_site_occupancy
Ag1 0.2500 0.2500 0.2500 1
Ag2 0.7500 0.7500 0.7500 1
Mo1 0.0000 0.0000 0.0000 1
H1 0.5000 0.5000 0.5000 1
```

Results
Energy above the lowest structure with this stoichiometry ... 366 meV/atom
Magnetic moment ... 2.8 μB per formula unit

---

# 11
This record from the Alexandria database describes a relaxed structure of AgMo2H. The functional is PBE.

```
data_AgMo2H
_symmetry_space_group_name_H-M 'P 1'
_symmetry_Int_Tables_number 1
_cell_length_a 8.1760
_cell_length_b 8.1760
_cell_length_c 8.1760
_cell_angle_alpha 19.89
_cell_angle_beta 19.89
_cell_angle_gamma 19.89
loop_
_symmetry_equiv_pos_as_xyz
'x,y,z'
loop_
_atom_site_label
_atom_site_fract_x
_atom_site_fract_y
_atom_site_fract_z
_atom_site_occupancy
Ag1 0.0000 0.0000 0.0000 1
Mo1 0.1174 0.1174 0.1174 1
Mo2 0.8826 0.8826 0.8826 1
H1 0.5000 0.5000 0.5000 1
```

Results
Energy above the lowest structure with this stoichiometry ... 0 meV/atom
Magnetic moment ... 0.0 μB per formula unit

---

# 12
This record from the Alexandria database describes a relaxed structure of AgMo2H. The functional is PBE.

```
data_AgMo2H
_symmetry_space_group_name_H-M 'P 1'
_symmetry_Int_Tables_number 1
_cell_length_a 4.3152
_cell_length_b 4.3152
_cell_length_c 4.3152
_cell_angle_alpha 60.00
_cell_angle_beta 60.00
_cell_angle_gamma 60.00
loop_
_symmetry_equiv_pos_as_xyz
'x,y,z'
loop_
_atom_site_label
_atom_site_fract_x
_atom_site_fract_y
_atom_site_fract_z
_atom_site_occupancy
Ag1 0.0000 0.0000 0.0000 1
Mo1 0.2500 0.2500 0.2500 1
Mo2 0.7500 0.7500 0.7500 1
H1 0.5000 0.5000 0.5000 1
```

Results
Energy above the lowest structure with this stoichiometry ... 739 meV/atom
Magnetic moment ... 0.0 μB per formula unit